Record 1
GaSbTe2I: relaxed, GGA-PBE.

Cell: 5.772 5.772 6.091 Å, 90.00 90.00 90.00°
Space group P4/mmm (No. 123)
Symmetry-distinct sites (fractional):
Ga: 0.000 0.000 0.000 x1
Sb: 0.500 0.500 0.500 x1
Te: 0.000 0.500 0.500 x2
I: 0.500 0.500 0.000 x1

Calculated values
DOS(E_F) = 3.8 states/eV per cell
V = 40.6 A^3/atom
formation energy from raw total energies = 0.23 eV per atom



Record 2
MnAs3Pb: relaxed, GGA-PBE.

Cell: 4.727 4.727 4.727 Å, 90.00 90.00 90.00°
Space group Pm-3m (No. 221)
Symmetry-distinct sites (fractional):
Mn: 0.000 0.000 0.000 x1
As: 0.000 0.000 0.500 x3
Pb: 0.500 0.500 0.500 x1

Calculated values
DOS(E_F) = 4.5 states/eV per cell
V = 21.1 A^3/atom
E_form = 0.325 eV per atom



Record 3
Nd2Ho6ErTm3: relaxed, GGA-PBE.

Cell: 6.132 10.611 11.727 Å, 90.00 100.01 90.00°
Space group C2/m (No. 12)
Symmetry-distinct sites (fractional):
Nd: 0.000 0.167 0.000 x4
Ho: 0.247 0.500 0.746 x4
Ho: 0.249 0.166 0.746 x8
Er: 0.000 0.500 0.000 x2
Tm: 0.000 0.000 0.500 x2
Tm: 0.000 0.334 0.500 x4

Calculated values
DOS(E_F) = 32.1 states/eV per cell
V = 31.3 A^3/atom
E_form = 0.021 eV per atom



Record 4
Tm5ScTe4: relaxed, GGA-PBE.

Cell: 9.070 9.361 7.344 Å, 90.00 90.00 90.00°
Space group Pmmn (No. 59, origin choice 2)
Symmetry-distinct sites (fractional):
Tm: 0.062 0.063 0.233 x8
Tm: 0.250 0.750 0.219 x2
Sc: 0.250 0.250 0.873 x2
Te: 0.029 0.250 0.571 x4
Te: 0.250 0.549 0.904 x4

Calculated values
DOS(E_F) = 22.0 states/eV per cell
V = 31.2 A^3/atom
formation energy from raw total energies = -0.69 eV per atom



Record 5
KSrZn2Hg: relaxed, GGA-PBE.

Cell: 5.723 5.723 5.953 Å, 90.00 90.00 90.00°
Space group P4/mmm (No. 123)
Symmetry-distinct sites (fractional):
K: 0.000 0.000 0.000 x1
Sr: 0.500 0.500 0.500 x1
Zn: 0.000 0.500 0.000 x2
Hg: 0.000 0.000 0.500 x1

Calculated values
DOS(E_F) = 3.1 states/eV per cell
V = 39.0 A^3/atom
E_form = 0.384 eV per atom



Record 6
SmAgPbCl6: relaxed, GGA-PBE.

Cell: 6.9550 6.9550 12.8959 Å, 90.00 90.00 120.00°
Space group P-31c (No. 163)
Symmetry-distinct sites (fractional):
Sm: 0.3333 0.6667 0.2500 x2
Ag: 0.3333 0.6667 0.7500 x2
Pb: 0.0000 0.0000 0.0000 x2
Cl: 0.0074 0.3494 0.1296 x12

Calculated values
DOS(E_F) = 0.0 states/eV per cell
V = 30.0 A^3/atom
formation energy from raw total energies = -1.48 eV per atom